Li2ErMnO4 | PBE with a Hubbard U | optimized geometry

Summary:
space group = No. 121
E_tot = -53.6 eV for the cell shown

Cell and atoms, written as POSCAR:
```
Li2ErMnO4
1.0
4.962 0.100 0.144
-2.301 4.397 -0.144
-2.301 -1.674 4.068
Li Er Mn O
2 1 1 4
direct
0.500 0.750 0.250
0.500 0.250 0.750
0.000 0.000 0.000
0.000 0.500 0.500
0.000 0.135 0.597
0.538 0.403 0.403
0.462 0.865 0.865
0.000 0.597 0.135
```